Co2Ru2F, optimized geometry, DFT GGA+U; offset from the most stable computed form = 0.114 eV per formula unit; M_tot = 4.3 μB/f.u.
1.0
-6.436 5.693 3.161
-1.910 -1.872 -0.518
7.098 -9.093 6.692
Co Ru F
8 8 4
Cartesian
-1.946 -2.172 7.868 Co
4.988 -8.988 6.931 Co
-2.211 0.492 6.380 Co
-4.540 3.310 4.781 Co
-6.715 4.102 2.775 Co
2.394 -3.506 3.844 Co
-0.031 -2.782 3.007 Co
4.473 -6.392 6.612 Co
2.380 -5.827 5.125 Ru
0.578 -2.843 8.147 Ru
-0.214 -0.345 2.038 Ru
-2.102 1.397 2.706 Ru
2.423 -4.516 7.389 Ru
-3.926 0.768 4.542 Ru
0.492 -4.086 5.793 Ru
-2.081 -0.905 3.784 Ru
-5.409 2.686 3.078 F
-0.762 -2.537 4.817 F
-0.905 -0.925 6.683 F
-3.355 2.945 1.730 F